! BaC2O4 | the Alexandria database | GGA-PBE | optimized geometry; values from VASP
&SYSTEM
  ibrav = 0, nat = 14, ntyp = 3
/
ATOMIC_SPECIES
Ba 137.33 Ba.upf
C 12.01 C.upf
O 16.00 O.upf
CELL_PARAMETERS angstrom
4.616 0.000 0.000
0.511 5.043 0.000
0.766 1.946 9.209
ATOMIC_POSITIONS crystal
Ba 0.133 0.013 0.255
Ba 0.867 0.987 0.745
C 0.367 0.503 0.558
C 0.372 0.609 0.011
C 0.628 0.391 0.989
C 0.633 0.497 0.442
O 0.195 0.717 0.543
O 0.207 0.555 0.126
O 0.348 0.292 0.657
O 0.349 0.825 0.915
O 0.651 0.175 0.085
O 0.652 0.708 0.343
O 0.793 0.445 0.874
O 0.805 0.283 0.457
! M_tot: 0.000 μB/atom
! DFT total energy: -7.57 eV/atom
! energy above the lowest structure with this stoichiometry: 0 kJ/mol of formula units
! symmetry: No. 2
! formation energy from raw total energies: -1.828 eV per atom
! DOS at the Fermi energy: 0.00 states/eV per atom

! CdFe2Tc2 | the Alexandria database | GGA-PBE | optimized geometry; values from VASP
&SYSTEM
  ibrav = 0, nat = 5, ntyp = 3
/
ATOMIC_SPECIES
Cd 112.41 Cd.upf
Fe 55.84 Fe.upf
Tc 98.00 Tc.upf
CELL_PARAMETERS angstrom
-1.969 1.969 5.182
1.969 -1.969 5.182
1.969 1.969 -5.182
ATOMIC_POSITIONS crystal
Cd 0.000 0.000 0.000
Fe 0.250 0.750 0.500
Fe 0.750 0.250 0.500
Tc 0.385 0.385 0.000
Tc 0.615 0.615 0.000
! M_tot: 0.721 μB/atom
! DFT total energy: -7.21 eV/atom
! energy above the lowest structure with this stoichiometry: 125 kJ/mol of formula units
! symmetry: No. 139
! energy of formation from the pure elements: 2.54 eV per formula unit
! DOS at the Fermi energy: 0.82 states/eV per atom

! TaSiGe | the Alexandria database | GGA-PBE | optimized geometry; values from VASP
&SYSTEM
  ibrav = 0, nat = 6, ntyp = 3
/
ATOMIC_SPECIES
Ta 180.95 Ta.upf
Si 28.09 Si.upf
Ge 72.64 Ge.upf
CELL_PARAMETERS angstrom
3.478 0.000 0.000
0.000 3.478 0.000
0.000 0.000 8.108
ATOMIC_POSITIONS crystal
Ta 0.250 0.250 0.249
Ta 0.750 0.750 0.751
Si 0.250 0.750 0.000
Si 0.750 0.250 0.000
Ge 0.250 0.250 0.597
Ge 0.750 0.750 0.403
! M_tot: 0.000 μB/atom
! DFT total energy: -7.60 eV/atom
! energy above the lowest structure with this stoichiometry: 7 kJ/mol of formula units
! symmetry: No. 129
! formation energy from raw total energies: -0.300 eV per atom
! DOS at the Fermi energy: 0.51 states/eV per atom

! Sm2Ho6Pu | the Alexandria database | GGA-PBE | optimized geometry; values from VASP
&SYSTEM
  ibrav = 0, nat = 18, ntyp = 3
/
ATOMIC_SPECIES
Sm 150.36 Sm.upf
Ho 164.93 Ho.upf
Pu 244.00 Pu.upf
CELL_PARAMETERS angstrom
6.132 0.000 0.000
2.045 9.116 0.000
0.968 3.161 10.028
ATOMIC_POSITIONS crystal
Sm 0.027 0.198 0.443
Sm 0.424 0.914 0.672
Sm 0.576 0.086 0.328
Sm 0.973 0.802 0.557
Ho 0.083 0.582 0.330
Ho 0.137 0.973 0.219
Ho 0.252 0.746 0.001
Ho 0.305 0.141 0.893
Ho 0.363 0.527 0.782
Ho 0.471 0.308 0.557
Ho 0.529 0.692 0.443
Ho 0.637 0.473 0.218
Ho 0.695 0.859 0.107
Ho 0.748 0.254 0.999
Ho 0.863 0.027 0.781
Ho 0.917 0.418 0.670
Pu 0.187 0.364 0.109
Pu 0.813 0.636 0.891
! M_tot: 0.710 μB/atom
! DFT total energy: -5.64 eV/atom
! symmetry: No. 2
! energy of formation from the pure elements: 0.47 eV per formula unit
! DOS at the Fermi energy: 2.00 states/eV per atom

! ScCr3Rh | the Alexandria database | GGA-PBE | optimized geometry; values from VASP
&SYSTEM
  ibrav = 0, nat = 5, ntyp = 3
/
ATOMIC_SPECIES
Sc 44.96 Sc.upf
Cr 52.00 Cr.upf
Rh 102.91 Rh.upf
CELL_PARAMETERS angstrom
4.229 0.000 0.000
0.000 4.229 0.000
0.000 0.000 4.229
ATOMIC_POSITIONS crystal
Sc 0.000 0.000 0.000
Cr 0.000 0.000 0.500
Cr 0.000 0.500 0.000
Cr 0.500 0.000 0.000
Rh 0.500 0.500 0.500
! M_tot: 0.000 μB/atom
! DFT total energy: -6.63 eV/atom
! energy above the lowest structure with this stoichiometry: 324 kJ/mol of formula units
! symmetry: No. 221
! energy of formation from the pure elements: 9.40 eV per formula unit
! DOS at the Fermi energy: 1.53 states/eV per atom

! IrWAu3 | the Alexandria database | GGA-PBE | optimized geometry; values from VASP
&SYSTEM
  ibrav = 0, nat = 5, ntyp = 3
/
ATOMIC_SPECIES
Ir 192.22 Ir.upf
W 183.84 W.upf
Au 196.97 Au.upf
CELL_PARAMETERS angstrom
4.961 0.000 0.000
0.000 4.961 0.000
0.000 0.000 4.961
ATOMIC_POSITIONS crystal
Ir 0.000 0.000 0.000
W 0.500 0.500 0.500
Au 0.000 0.500 0.500
Au 0.500 0.000 0.500
Au 0.500 0.500 0.000
! M_tot: 0.275 μB/atom
! DFT total energy: -4.30 eV/atom
! energy above the lowest structure with this stoichiometry: 53 kJ/mol of formula units
! symmetry: No. 221
! energy of formation from the pure elements: 10.15 eV per formula unit
! DOS at the Fermi energy: 1.41 states/eV per atom

! Ta2ZnHg | the Alexandria database | GGA-PBE | optimized geometry; values from VASP
&SYSTEM
  ibrav = 0, nat = 4, ntyp = 3
/
ATOMIC_SPECIES
Ta 180.95 Ta.upf
Zn 65.41 Zn.upf
Hg 200.59 Hg.upf
CELL_PARAMETERS angstrom
0.000 3.327 3.327
3.327 0.000 3.327
3.327 3.327 0.000
ATOMIC_POSITIONS crystal
Ta 0.000 0.000 0.000
Ta 0.250 0.250 0.250
Zn 0.500 0.500 0.500
Hg 0.750 0.750 0.750
! M_tot: 0.001 μB/atom
! DFT total energy: -5.73 eV/atom
! energy above the lowest structure with this stoichiometry: 175 kJ/mol of formula units
! symmetry: No. 216
! energy of formation from the pure elements: 2.35 eV per formula unit
! DOS at the Fermi energy: 1.68 states/eV per atom

! PmSm2Os | the Alexandria database | GGA-PBE | optimized geometry; values from VASP
&SYSTEM
  ibrav = 0, nat = 4, ntyp = 3
/
ATOMIC_SPECIES
Pm 145.00 Pm.upf
Sm 150.36 Sm.upf
Os 190.23 Os.upf
CELL_PARAMETERS angstrom
3.468 0.000 0.000
0.000 3.468 0.000
0.000 0.000 9.555
ATOMIC_POSITIONS crystal
Pm 0.000 0.000 0.000
Sm 0.500 0.500 0.322
Sm 0.500 0.500 0.678
Os 0.000 0.000 0.500
! M_tot: 0.000 μB/atom
! DFT total energy: -6.36 eV/atom
! energy above the lowest structure with this stoichiometry: 55 kJ/mol of formula units
! symmetry: No. 123
! energy of formation from the pure elements: -0.02 eV per formula unit
! DOS at the Fermi energy: 0.73 states/eV per atom

! NpCu2HgO6 | the Alexandria database | GGA-PBE | optimized geometry; values from VASP
&SYSTEM
  ibrav = 0, nat = 20, ntyp = 4
/
ATOMIC_SPECIES
Np 237.00 Np.upf
Cu 63.55 Cu.upf
Hg 200.59 Hg.upf
O 16.00 O.upf
CELL_PARAMETERS angstrom
4.898 -5.285 0.000
4.898 5.285 0.000
-0.980 0.000 5.518
ATOMIC_POSITIONS crystal
Np 0.205 0.795 0.750
Np 0.795 0.205 0.250
Cu 0.121 0.272 0.819
Cu 0.272 0.121 0.319
Cu 0.728 0.879 0.681
Cu 0.879 0.728 0.181
Hg 0.397 0.603 0.250
Hg 0.603 0.397 0.750
O 0.061 0.210 0.131
O 0.081 0.680 0.445
O 0.210 0.061 0.631
O 0.260 0.523 0.897
O 0.320 0.919 0.055
O 0.477 0.740 0.603
O 0.523 0.260 0.397
O 0.680 0.081 0.945
O 0.740 0.477 0.103
O 0.790 0.939 0.369
O 0.919 0.320 0.555
O 0.939 0.790 0.869
! M_tot: 0.102 μB/atom
! DFT total energy: -6.41 eV/atom
! symmetry: No. 15
! formation energy from raw total energies: -1.290 eV per atom
! DOS at the Fermi energy: 0.46 states/eV per atom

! Er2GaP | the Alexandria database | GGA-PBE | optimized geometry; values from VASP
&SYSTEM
  ibrav = 0, nat = 4, ntyp = 3
/
ATOMIC_SPECIES
Er 167.26 Er.upf
Ga 69.72 Ga.upf
P 30.97 P.upf
CELL_PARAMETERS angstrom
1.867 1.078 9.214
-1.867 1.078 9.214
0.000 -2.156 9.214
ATOMIC_POSITIONS crystal
Er 0.108 0.108 0.108
Er 0.892 0.892 0.892
Ga 0.000 0.000 0.000
P 0.500 0.500 0.500
! M_tot: 0.000 μB/atom
! DFT total energy: -4.94 eV/atom
! energy above the lowest structure with this stoichiometry: 214 kJ/mol of formula units
! symmetry: No. 166
! energy of formation from the pure elements: -2.21 eV per formula unit
! DOS at the Fermi energy: 1.11 states/eV per atom

! Cd2BiH2 | the Alexandria database | GGA-PBE | optimized geometry; values from VASP
&SYSTEM
  ibrav = 0, nat = 5, ntyp = 3
/
ATOMIC_SPECIES
Cd 112.41 Cd.upf
Bi 208.98 Bi.upf
H 1.01 H.upf
CELL_PARAMETERS angstrom
-1.790 1.790 6.894
1.790 -1.790 6.894
1.790 1.790 -6.894
ATOMIC_POSITIONS crystal
Cd 0.159 0.159 0.000
Cd 0.841 0.841 0.000
Bi 0.500 0.500 0.000
H 0.250 0.750 0.500
H 0.750 0.250 0.500
! M_tot: 0.000 μB/atom
! DFT total energy: -2.14 eV/atom
! energy above the lowest structure with this stoichiometry: 104 kJ/mol of formula units
! symmetry: No. 139
! DOS at the Fermi energy: 0.31 states/eV per atom

! CdPPt2 | the Alexandria database | GGA-PBE | optimized geometry; values from VASP
&SYSTEM
  ibrav = 0, nat = 4, ntyp = 3
/
ATOMIC_SPECIES
Cd 112.41 Cd.upf
P 30.97 P.upf
Pt 195.08 Pt.upf
CELL_PARAMETERS angstrom
3.725 0.000 0.000
0.000 3.726 0.000
0.000 0.000 5.433
ATOMIC_POSITIONS crystal
Cd 0.000 0.000 0.000
P 0.000 0.500 0.500
Pt 0.500 0.500 0.248
Pt 0.500 0.500 0.752
! M_tot: 0.000 μB/atom
! DFT total energy: -4.82 eV/atom
! energy above the lowest structure with this stoichiometry: 16 kJ/mol of formula units
! symmetry: No. 47
! energy of formation from the pure elements: -0.87 eV per formula unit
! DOS at the Fermi energy: 0.43 states/eV per atom

! CuRh2W | the Alexandria database | GGA-PBE | optimized geometry; values from VASP
&SYSTEM
  ibrav = 0, nat = 4, ntyp = 3
/
ATOMIC_SPECIES
Cu 63.55 Cu.upf
Rh 102.91 Rh.upf
W 183.84 W.upf
CELL_PARAMETERS angstrom
2.753 0.000 0.000
0.000 2.753 0.000
0.000 0.000 7.489
ATOMIC_POSITIONS crystal
Cu 0.000 0.000 0.000
Rh 0.000 0.000 0.496
Rh 0.500 0.500 0.234
W 0.500 0.500 0.753
! M_tot: 0.001 μB/atom
! DFT total energy: -7.84 eV/atom
! energy above the lowest structure with this stoichiometry: 95 kJ/mol of formula units
! symmetry: No. 99
! energy of formation from the pure elements: 0.40 eV per formula unit
! DOS at the Fermi energy: 1.62 states/eV per atom

! K3Mg5 | the Alexandria database | GGA-PBE | optimized geometry; values from VASP
&SYSTEM
  ibrav = 0, nat = 16, ntyp = 2
/
ATOMIC_SPECIES
K 39.10 K.upf
Mg 24.30 Mg.upf
CELL_PARAMETERS angstrom
5.964 0.000 0.000
2.970 9.903 0.000
2.981 0.011 11.131
ATOMIC_POSITIONS crystal
K 0.000 0.000 0.000
K 0.020 0.105 0.356
K 0.117 0.499 0.757
K 0.518 0.500 0.954
K 0.615 0.894 0.356
K 0.645 0.999 0.712
Mg 0.012 0.346 0.124
Mg 0.065 0.497 0.356
Mg 0.130 0.725 0.503
Mg 0.277 0.726 0.208
Mg 0.359 0.273 0.504
Mg 0.506 0.273 0.208
Mg 0.571 0.501 0.356
Mg 0.623 0.654 0.588
Mg 0.780 0.346 0.588
Mg 0.855 0.654 0.123
! M_tot: 0.000 μB/atom
! DFT total energy: -1.21 eV/atom
! energy above the lowest structure with this stoichiometry: 0 kJ/mol of formula units
! symmetry: No. 1
! energy of formation from the pure elements: 1.58 eV per formula unit
! DOS at the Fermi energy: 0.77 states/eV per atom

! KLi4Cu | the Alexandria database | GGA-PBE | optimized geometry; values from VASP
&SYSTEM
  ibrav = 0, nat = 6, ntyp = 3
/
ATOMIC_SPECIES
K 39.10 K.upf
Li 6.94 Li.upf
Cu 63.55 Cu.upf
CELL_PARAMETERS angstrom
0.000 4.109 4.109
4.109 0.000 4.109
4.109 4.109 0.000
ATOMIC_POSITIONS crystal
K 0.000 0.000 0.000
Li 0.133 0.622 0.622
Li 0.622 0.133 0.622
Li 0.622 0.622 0.133
Li 0.622 0.622 0.622
Cu 0.250 0.250 0.250
! M_tot: 0.000 μB/atom
! DFT total energy: -1.89 eV/atom
! symmetry: No. 216
! energy of formation from the pure elements: 1.49 eV per formula unit
! DOS at the Fermi energy: 0.42 states/eV per atom

! PrAl2CuPt4 | the Alexandria database | GGA-PBE | optimized geometry; values from VASP
&SYSTEM
  ibrav = 0, nat = 8, ntyp = 4
/
ATOMIC_SPECIES
Pr 140.91 Pr.upf
Al 26.98 Al.upf
Cu 63.55 Cu.upf
Pt 195.08 Pt.upf
CELL_PARAMETERS angstrom
2.135 1.232 8.899
-2.135 1.232 8.899
0.000 -2.465 8.899
ATOMIC_POSITIONS crystal
Pr 0.000 0.000 0.000
Al 0.234 0.234 0.234
Al 0.766 0.766 0.766
Cu 0.500 0.500 0.500
Pt 0.132 0.132 0.132
Pt 0.404 0.404 0.404
Pt 0.596 0.596 0.596
Pt 0.868 0.868 0.868
! M_tot: 0.000 μB/atom
! DFT total energy: -5.94 eV/atom
! symmetry: No. 166
! energy of formation from the pure elements: -7.01 eV per formula unit
! DOS at the Fermi energy: 0.58 states/eV per atom

! Na2CaZnF6 | the Alexandria database | GGA-PBE | optimized geometry; values from VASP
&SYSTEM
  ibrav = 0, nat = 20, ntyp = 4
/
ATOMIC_SPECIES
Na 22.99 Na.upf
Ca 40.08 Ca.upf
Zn 65.41 Zn.upf
F 19.00 F.upf
CELL_PARAMETERS angstrom
5.630 0.000 0.000
0.000 5.865 0.000
-5.515 0.000 8.200
ATOMIC_POSITIONS crystal
Na 0.234 0.057 0.250
Na 0.234 0.443 0.750
Na 0.766 0.557 0.250
Na 0.766 0.943 0.750
Ca 0.500 0.000 0.000
Ca 0.500 0.500 0.500
Zn 0.000 0.000 0.500
Zn 0.000 0.500 0.000
F 0.108 0.206 0.931
F 0.108 0.294 0.431
F 0.233 0.683 0.937
F 0.233 0.817 0.437
F 0.363 0.060 0.739
F 0.363 0.440 0.239
F 0.637 0.560 0.761
F 0.637 0.940 0.261
F 0.767 0.183 0.563
F 0.767 0.317 0.063
F 0.892 0.706 0.569
F 0.892 0.794 0.069
! M_tot: 0.000 μB/atom
! DFT total energy: -4.68 eV/atom
! symmetry: No. 14
! formation energy from raw total energies: -2.962 eV per atom
! DOS at the Fermi energy: 0.00 states/eV per atom

! KMg3N | the Alexandria database | GGA-PBE | optimized geometry; values from VASP
&SYSTEM
  ibrav = 0, nat = 5, ntyp = 3
/
ATOMIC_SPECIES
K 39.10 K.upf
Mg 24.30 Mg.upf
N 14.01 N.upf
CELL_PARAMETERS angstrom
4.752 0.000 0.000
0.000 4.752 0.000
0.000 0.000 4.752
ATOMIC_POSITIONS crystal
K 0.000 0.000 0.000
Mg 0.000 0.500 0.500
Mg 0.500 0.000 0.500
Mg 0.500 0.500 0.000
N 0.500 0.500 0.500
! M_tot: 0.000 μB/atom
! DFT total energy: -2.57 eV/atom
! energy above the lowest structure with this stoichiometry: 0 kJ/mol of formula units
! symmetry: No. 221
! formation energy from raw total energies: 0.268 eV per atom
! DOS at the Fermi energy: 0.56 states/eV per atom